The following is a GGA-PBE calculation of a geometry-optimized Nb2CrTc structure, from Alexandria.

Values from the calculation:
The calculation puts the density of states at the Fermi level at 3.3 states/eV/f.u. As for the total energy: -10.2001 eV per atom.

Lattice parameters (Å, degrees): 3.1494 3.1494 6.3116 90.00 90.00 90.00
Closest atoms and distances in Å follow each position.
Element x y z (fractional)
Nb 0.0000 0.0000 0.2440  4 Cr 2.71, 4 Tc 2.75
Nb 0.0000 0.0000 0.7560  4 Cr 2.71, 4 Tc 2.75
Cr 0.5000 0.5000 0.0000  8 Nb 2.71
Tc 0.5000 0.5000 0.5000  8 Nb 2.75